(1)
VASP calculation (PBE) on an optimized crystal structure of BiTePd2.

Values from the calculation:
- crystal system = tetragonal
- formation energy (no corrections) (eV/atom) = -0.128
- calculated volume (Å³/atom) = 24.8
- energy above the most stable polymorph in this dataset (eV per atom) = 0.225
- energy (eV per atom) = -4.480

Unit cell a=4.875 b=4.875 c=16.700 alpha=90.00 beta=90.00 gamma=90.00
Space group I-42d (No. 122)
Unique sites:
Bi1 0.000 0.000 0.000
Te1 0.000 0.000 0.500
Pd1 0.195 0.250 0.625



(2)
VASP calculation (PBE) on an optimized crystal structure of MnNb3Cr.

Values from the calculation:
- crystal system = cubic
- calculated volume (Å³/atom) = 18.8
- energy above the most stable polymorph in this dataset (eV per atom) = 0.150
- energy (eV per atom) = -8.527

Unit cell a=4.543 b=4.543 c=4.543 alpha=90.00 beta=90.00 gamma=90.00
Space group Pm-3m (No. 221)
Unique sites:
Mn1 0.000 0.000 0.000
Nb1 0.000 0.500 0.500
Cr1 0.500 0.500 0.500



(3)
VASP calculation (PBE) on an optimized crystal structure of Mg5Ga2Ag2.

Values from the calculation:
- crystal system = monoclinic
- calculated volume (Å³/atom) = 19.8
- energy above the most stable polymorph in this dataset (eV per atom) = 0.000
- energy (eV per atom) = -2.310

Unit cell a=9.650 b=4.241 c=8.786 alpha=90.00 beta=96.65 gamma=90.00
Space group C2/m (No. 12)
Unique sites:
Mg1 0.000 0.000 0.000
Mg2 0.070 0.000 0.662
Mg3 0.128 0.500 0.209
Ga1 0.230 0.000 0.410
Ag1 0.177 0.500 0.883



(4)
VASP calculation (PBE) on an optimized crystal structure of KRbNaFe2.

Values from the calculation:
- crystal system = tetragonal
- calculated volume (Å³/atom) = 44.0
- energy (eV per atom) = -2.443

Unit cell a=6.004 b=6.004 c=6.096 alpha=90.00 beta=90.00 gamma=90.00
Space group P4/mmm (No. 123)
Unique sites:
K1 0.000 0.000 0.000
Rb1 0.500 0.500 0.500
Na1 0.500 0.500 0.000
Fe1 0.000 0.500 0.500



(5)
VASP calculation (PBE) on an optimized crystal structure of Ti12SnSb6.

Values from the calculation:
- crystal system = trigonal
- formation energy (no corrections) (eV/atom) = -0.267
- calculated volume (Å³/atom) = 19.7
- energy (eV per atom) = -6.766

Unit cell a=12.2876 b=12.2876 c=8.5988 alpha=90.00 beta=90.00 gamma=120.00
Space group R-3 (No. 148, hexagonal axes)
Unique sites:
Ti1 0.0402 0.2408 0.0678
Ti2 0.0632 0.2505 0.4255
Sn1 0.0000 0.0000 0.0000
Sb1 0.0494 0.2080 0.7370



(6)
VASP calculation (PBE) on an optimized crystal structure of Y2PuHg6.

Values from the calculation:
- crystal system = hexagonal
- calculated volume (Å³/atom) = 24.4
- energy (eV per atom) = -3.543

Unit cell a=8.6907 b=8.6907 c=3.3616 alpha=90.00 beta=90.00 gamma=120.00
Space group P6/mmm (No. 191)
Unique sites:
Y1 0.3333 0.6667 0.0000
Pu1 0.0000 0.0000 0.0000
Hg1 0.0000 0.3348 0.5000



(7)
VASP calculation (PBE) on an optimized crystal structure of Gd2HgOs.

Values from the calculation:
- crystal system = tetragonal
- calculated volume (Å³/atom) = 23.5
- energy above the most stable polymorph in this dataset (eV per atom) = 0.000
- energy (eV per atom) = -10.258

Unit cell a=3.467 b=3.467 c=7.811 alpha=90.00 beta=90.00 gamma=90.00
Space group P4/mmm (No. 123)
Unique sites:
Gd1 0.000 0.000 0.216
Hg1 0.500 0.500 0.500
Os1 0.500 0.500 0.000



(8)
VASP calculation (PBE) on an optimized crystal structure of MnInBr2.

Values from the calculation:
- crystal system = monoclinic
- formation energy (no corrections) (eV/atom) = -0.344
- calculated volume (Å³/atom) = 32.5
- energy above the most stable polymorph in this dataset (eV per atom) = 0.067
- energy (eV per atom) = -4.157

Unit cell a=4.837 b=3.697 c=7.656 alpha=90.00 beta=108.23 gamma=90.00
Space group Pm (No. 6)
Unique sites:
Mn1 0.000 0.000 0.000
In1 0.535 0.500 0.072
Br1 0.163 0.000 0.327
Br2 0.877 0.500 0.751



The records above yield N(E_F) values of 5.38, 11.04, 5.52, 8.89, 66.81, 15.29, 3.14, 1.18 states/eV/cell, respectively.